DFT (PBE with a Hubbard U) results for Sr2PrVO6 after structural relaxation.

Structure (POSCAR):
```
Sr2PrVO6
1.0
0.000 4.208 4.208
4.208 0.000 4.208
4.208 4.208 0.000
Sr Pr V O
2 1 1 6
direct
0.250 0.250 0.250 Sr
0.750 0.750 0.750 Sr
0.000 0.000 0.000 Pr
0.500 0.500 0.500 V
0.274 0.274 0.726 O
0.274 0.726 0.274 O
0.274 0.726 0.726 O
0.726 0.274 0.274 O
0.726 0.274 0.726 O
0.726 0.726 0.274 O
```

Magnetic moment (μB/f.u.): 0.0
Electronic total energy (eV/atom): -7.123
Crystal system: cubic